Record 1
LiSm2HfAs4 PBE optimized geometry; VASP energy = -48.16 eV/cell; total magnetic moment = 0.000 μB per atom; energy relative to the elements = -100 kJ/mol of atoms; space-group type = No. 10
1.0
-1.087 -3.432 1.841
-0.569 -3.236 -6.368
6.360 -0.724 2.405
Li Sm Hf As
1 2 1 4
direct
0.500 0.500 0.000 Li
0.500 0.000 0.500 Sm
0.000 0.500 0.500 Sm
0.000 0.000 0.000 Hf
0.500 0.238 0.226 As
0.500 0.762 0.774 As
0.000 0.250 0.774 As
0.000 0.750 0.226 As

=====

Record 2
LiHfTaAs2 PBE optimized geometry; VASP energy = -30.52 eV/cell; total magnetic moment = 0.000 μB per atom; energy relative to the elements = 48 kJ/mol of atoms; space-group type = No. 123
1.0
5.024 0.000 0.000
0.000 5.155 0.000
0.000 0.000 5.024
As Li Hf Ta
2 1 1 1
direct
0.000 0.000 0.500 As
0.500 0.000 0.000 As
0.500 0.500 0.500 Li
0.000 0.500 0.000 Hf
0.000 0.000 0.000 Ta

=====

Record 3
LiTb2HfAs4 PBE optimized geometry; VASP energy = -48.11 eV/cell; total magnetic moment = 0.000 μB per atom; energy relative to the elements = -101 kJ/mol of atoms; space-group type = No. 10
1.0
-3.351 2.167 -0.165
-0.137 -0.749 -7.028
-3.440 -5.098 2.909
Li Tb Hf As
1 2 1 4
direct
0.500 0.500 0.000 Li
0.500 0.000 0.500 Tb
0.000 0.500 0.500 Tb
0.000 0.000 0.000 Hf
0.500 0.240 0.231 As
0.500 0.760 0.769 As
0.000 0.249 0.769 As
0.000 0.751 0.231 As

=====

Record 4
LiHf2TeAs PBE optimized geometry; VASP energy = -27.68 eV/cell; total magnetic moment = 0.000 μB per atom; space-group type = No. 123; ΔE_f (raw) = 387 meV per atom
1.0
-0.047 4.592 -1.845
-3.165 0.985 2.532
3.223 1.429 3.473
As Te Hf Li
1 1 2 1
direct
0.500 0.500 0.500 As
0.000 0.500 0.000 Te
0.000 0.000 0.500 Hf
0.500 0.000 0.000 Hf
0.000 0.000 0.000 Li

=====

Record 5
LiHfTh2As4 PBE optimized geometry; VASP energy = -53.87 eV/cell; total magnetic moment = 0.000 μB per atom; energy relative to the elements = -103 kJ/mol of atoms; space-group type = No. 10
1.0
4.127 0.000 0.000
0.000 7.201 0.163
0.000 -2.477 6.364
Li Hf Th As
1 1 2 4
direct
0.500 0.500 0.000 Li
0.000 0.000 0.000 Hf
0.500 0.000 0.500 Th
0.000 0.500 0.500 Th
0.500 0.240 0.223 As
0.500 0.760 0.777 As
0.000 0.252 0.772 As
0.000 0.748 0.228 As

=====

Record 6
LiTm2HfAs4 PBE optimized geometry; VASP energy = -47.73 eV/cell; total magnetic moment = 0.000 μB per atom; energy relative to the elements = -100 kJ/mol of atoms; space-group type = No. 10
1.0
-2.524 3.031 -0.006
-5.282 -4.396 1.169
2.520 2.110 5.915
Li Tm Hf As
1 2 1 4
direct
0.500 0.500 0.000 Li
0.500 0.000 0.500 Tm
0.000 0.500 0.500 Tm
0.000 0.000 0.000 Hf
0.500 0.243 0.235 As
0.500 0.757 0.765 As
0.000 0.248 0.763 As
0.000 0.752 0.237 As

=====

Record 7
LiTmHf2As4 PBE optimized geometry; VASP energy = -53.07 eV/cell; total magnetic moment = 0.000 μB per atom; energy relative to the elements = -99 kJ/mol of atoms; space-group type = No. 10
1.0
-0.294 3.467 1.706
-3.728 2.187 -5.085
-4.177 -2.711 4.789
Li Tm Hf As
1 1 2 4
direct
0.500 0.500 0.000 Li
0.000 0.000 0.000 Tm
0.500 0.000 0.500 Hf
0.000 0.500 0.500 Hf
0.500 0.259 0.260 As
0.500 0.741 0.740 As
0.000 0.250 0.738 As
0.000 0.750 0.262 As

=====

Record 8
LiHf2UAs4 PBE optimized geometry; VASP energy = -58.60 eV/cell; total magnetic moment = 0.242 μB per atom; energy relative to the elements = -83 kJ/mol of atoms; space-group type = No. 10
1.0
3.864 0.000 0.000
0.000 6.655 0.147
0.000 -2.301 6.500
Li Hf U As
1 2 1 4
direct
0.500 0.500 0.000 Li
0.500 0.000 0.500 Hf
0.000 0.500 0.500 Hf
0.000 0.000 0.000 U
0.500 0.261 0.260 As
0.500 0.739 0.740 As
0.000 0.249 0.742 As
0.000 0.751 0.258 As

=====

Record 9
LiYHfAs2 PBE optimized geometry; VASP energy = -24.43 eV/cell; total magnetic moment = 0.000 μB per atom; energy relative to the elements = 62 kJ/mol of atoms; space-group type = No. 123
1.0
-1.632 -2.495 4.292
4.095 -1.965 0.415
1.622 4.002 2.943
Y As Hf Li
1 2 1 1
direct
0.000 0.000 0.000 Y
0.000 0.000 0.500 As
0.500 0.000 0.000 As
0.500 0.500 0.500 Hf
0.000 0.500 0.000 Li

=====

Record 10
LiHfZr2As4 PBE optimized geometry; VASP energy = -55.27 eV/cell; total magnetic moment = 0.000 μB per atom; energy relative to the elements = -93 kJ/mol of atoms; space-group type = No. 10
1.0
-1.284 3.401 1.254
-2.546 1.262 -6.029
-4.603 -3.097 3.687
Li Hf Zr As
1 1 2 4
direct
0.500 0.500 0.000 Li
0.000 0.000 0.000 Hf
0.500 0.000 0.500 Zr
0.000 0.500 0.500 Zr
0.500 0.252 0.243 As
0.500 0.748 0.757 As
0.000 0.252 0.755 As
0.000 0.748 0.245 As

=====

Record 11
Hf3MgAs PBE optimized geometry; VASP energy = -35.45 eV/cell; energy above the lowest structure with this stoichiometry = 0.000 kcal/mol of atoms; total magnetic moment = 0.000 μB per atom; energy relative to the elements = 13 kJ/mol of atoms; space-group type = No. 221
1.0
4.975 0.000 0.000
0.000 4.975 0.000
0.000 0.000 4.975
As Hf Mg
1 3 1
direct
0.000 0.000 0.000 As
0.000 0.500 0.000 Hf
0.000 0.000 0.500 Hf
0.500 0.000 0.000 Hf
0.500 0.500 0.500 Mg

=====

Record 12
HfMgAs3 PBE optimized geometry; VASP energy = -25.04 eV/cell; energy above the lowest structure with this stoichiometry = 0.000 kcal/mol of atoms; total magnetic moment = 0.000 μB per atom; energy relative to the elements = 9 kJ/mol of atoms; space-group type = No. 221
1.0
-1.715 -4.658 1.319
4.343 -2.098 -1.762
2.137 0.527 4.640
As Hf Mg
3 1 1
direct
0.000 0.500 0.000 As
0.000 0.000 0.500 As
0.500 0.000 0.000 As
0.000 0.000 0.000 Hf
0.500 0.500 0.500 Mg

=====

Question: The lowest VASP energy belongs to which entry?
Answer: LiHf2UAs4

=====

What did the seventh record say?
LiTmHf2As4 PBE optimized geometry; VASP energy = -53.07 eV/cell; total magnetic moment = 0.000 μB per atom; energy relative to the elements = -99 kJ/mol of atoms; space-group type = No. 10
1.0
-0.294 3.467 1.706
-3.728 2.187 -5.085
-4.177 -2.711 4.789
Li Tm Hf As
1 1 2 4
direct
0.500 0.500 0.000 Li
0.000 0.000 0.000 Tm
0.500 0.000 0.500 Hf
0.000 0.500 0.500 Hf
0.500 0.259 0.260 As
0.500 0.741 0.740 As
0.000 0.250 0.738 As
0.000 0.750 0.262 As

=====

Question: Among the records above, which one has the lowest VASP energy?
Answer: LiHf2UAs4

=====

Question: Among the records above, which one has the highest VASP energy?
Answer: LiYHfAs2